DFT (PBE) results for PmNd4Er2Tm after structural relaxation.

The structure in CIF format:
```
data_PmNd4Er2Tm
_cell_length_a 3.624
_cell_length_b 6.252
_cell_length_c 11.881
_cell_angle_alpha 79.80
_cell_angle_beta 90.00
_cell_angle_gamma 90.00
_symmetry_space_group_name_H-M 'P 1'
_symmetry_Int_Tables_number 1
loop_
_symmetry_equiv_pos_as_xyz
'x,y,z'
loop_
_atom_site_label
_atom_site_type_symbol
_atom_site_fract_x
_atom_site_fract_y
_atom_site_fract_z
Pm1 Pm 0.500 0.500 0.000
Nd1 Nd 0.000 0.750 0.747
Nd2 Nd 0.000 0.250 0.253
Nd3 Nd 0.500 0.751 0.252
Nd4 Nd 0.500 0.249 0.748
Er1 Er 0.000 0.000 0.000
Er2 Er 0.500 0.000 0.500
Tm1 Tm 0.000 0.500 0.500
```

Computed properties:
ΔH_f (0 K): 0.017 eV per atom
energy: -37.28 eV per cell
symmetry: P2/m (10)